1.
Density functional theory data (PBE) for a relaxed structure of LuPuPaTc.

POSCAR file:
```
LuPuPaTc
1.0
-3.0262 1.2536 3.7337
0.3077 -2.3760 4.3508
1.8131 2.3432 3.9865
Pu Pa Lu Tc
1 1 1 1
Direct
0.7500 0.7500 0.7500
0.0000 0.0000 0.0000
0.5000 0.5000 0.5000
0.2500 0.2500 0.2500
```

Computed properties:
Its symmetry is F-43m, No. 216. The value obtained for the density of states at the Fermi level is 8.1 states/eV/f.u. Its calculated total energy is -9.61 eV/atom.

=====

2.
Density functional theory data (PBE) for a relaxed structure of LuPuThPa.

POSCAR file:
```
LuPuThPa
1.0
5.3957 0.0000 0.0000
2.6978 4.6728 0.0000
2.6978 1.5576 4.4056
Pa Pu Th Lu
1 1 1 1
Direct
0.7500 0.7500 0.7500
0.0000 0.0000 0.0000
0.5000 0.5000 0.5000
0.2500 0.2500 0.2500
```

Computed properties:
Its symmetry is F-43m, No. 216. The value obtained for the density of states at the Fermi level is 11.6 states/eV/f.u. Its calculated total energy is -8.66 eV/atom.

=====

3.
Density functional theory data (PBE) for a relaxed structure of LuPuPaTl.

POSCAR file:
```
LuPuPaTl
1.0
5.2502 0.0000 0.0000
2.6251 4.5468 0.0000
2.6251 1.5156 4.2868
Pu Lu Tl Pa
1 1 1 1
Direct
0.7500 0.7500 0.7500
0.2500 0.2500 0.2500
0.0000 0.0000 0.0000
0.5000 0.5000 0.5000
```

Computed properties:
Its symmetry is F-43m, No. 216. The value obtained for the density of states at the Fermi level is 8.5 states/eV/f.u. Its calculated total energy is -7.46 eV/atom.

=====

4.
Density functional theory data (PBE) for a relaxed structure of LuPaRe.

POSCAR file:
```
LuPaRe
1.0
-0.7051 0.9182 -3.2275
-3.1950 -1.1917 0.3589
0.2338 5.2932 3.2761
Lu Pa Re
1 1 1
Direct
0.9854 0.9854 0.9707
0.6935 0.6935 0.3870
0.3211 0.3211 0.6423
```

Computed properties:
Its symmetry is I4mm, No. 107. The value obtained for the density of states at the Fermi level is 2.9 states/eV/f.u. Its calculated total energy is -8.85 eV/atom.